LaSmB2Pt8 | GGA-PBE | optimized geometry

Cell lengths 5.5012, 5.5012, 7.6915 Å; angles 90.00, 90.00, 120.00 degrees
Closest atoms and distances in Å follow each position.
Atoms (fractional coordinates):
La 0.0000 0.0000 0.0000  6 Pt 3.18
Sm 0.0000 0.0000 0.5000  12 Pt 3.15, 6 B 3.18
B 0.3333 0.6667 0.5000  6 Pt 2.20
B 0.6667 0.3333 0.5000  6 Pt 2.20
Pt 0.0000 0.5000 0.3017  2 B 2.20
Pt 0.0000 0.5000 0.6983  2 B 2.20
Pt 0.3333 0.6667 0.0000  6 Pt 2.81
Pt 0.5000 0.0000 0.3017  2 B 2.20
Pt 0.5000 0.0000 0.6983  2 B 2.20
Pt 0.5000 0.5000 0.3017  2 B 2.20
Pt 0.5000 0.5000 0.6983  2 B 2.20
Pt 0.6667 0.3333 0.0000  6 Pt 2.81

Computed properties:
Size of the total moment (μB/f.u.): 0.001
E (eV/f.u.): -81.309
E above lowest polymorph (meV per atom): 0
Symmetry: No. 191

=====

GdAgS2 | GGA-PBE | optimized geometry

Cell lengths 7.7083, 7.7046, 12.6678 Å; angles 90.00, 90.02, 90.00 degrees
Closest atoms and distances in Å follow each position.
Atoms (fractional coordinates):
Gd 0.0014 0.0000 0.2467  6 S 2.76-2.80
Gd 0.2480 0.7499 0.5033  6 S 2.76-2.80
Gd 0.2517 0.2522 0.0032  6 S 2.76-2.80
Gd 0.4985 0.0022 0.7470  6 S 2.75-2.80
Gd 0.5015 0.5022 0.2530  6 S 2.75-2.80
Gd 0.7483 0.7522 0.9968  6 S 2.76-2.80
Gd 0.7520 0.2499 0.4967  6 S 2.76-2.80
Gd 0.9986 0.5000 0.7533  6 S 2.76-2.80
Ag 0.0007 0.4925 0.3193  3 S 2.49-2.73
Ag 0.2353 0.7463 0.0666  3 S 2.49-2.75
Ag 0.2700 0.2604 0.5659  3 S 2.49-2.76
Ag 0.4973 0.5124 0.8169  3 S 2.49-2.76
Ag 0.5027 0.0124 0.1831  3 S 2.49-2.76
Ag 0.7300 0.7604 0.4341  3 S 2.49-2.76
Ag 0.7647 0.2463 0.9334  3 S 2.49-2.75
Ag 0.9993 0.9925 0.6807  3 S 2.49-2.73
S 0.0216 0.9801 0.0272  1 Ag 2.49, 3 Gd 2.76-2.79
S 0.0286 0.4708 0.5337  2 Ag 2.50-2.73, 3 Gd 2.76-2.80
S 0.2211 0.7223 0.2834  2 Ag 2.50-2.75, 2 Gd 2.77
S 0.2268 0.7735 0.7227  1 Ag 2.49, 2 Gd 2.75-2.77
S 0.2727 0.2296 0.2226  1 Ag 2.49, 2 Gd 2.76-2.77
S 0.2789 0.2804 0.7832  2 Ag 2.49-2.76, 2 Gd 2.77
S 0.4716 0.5312 0.0335  2 Ag 2.50-2.76, 2 Gd 2.76-2.77
S 0.4789 0.0219 0.5271  1 Ag 2.49, 2 Gd 2.77
S 0.5211 0.5219 0.4729  1 Ag 2.49, 2 Gd 2.77
S 0.5284 0.0312 0.9665  2 Ag 2.50-2.76, 2 Gd 2.76-2.77
S 0.7211 0.7804 0.2168  2 Ag 2.49-2.76, 2 Gd 2.77
S 0.7273 0.7296 0.7774  1 Ag 2.49, 2 Gd 2.76-2.77
S 0.7732 0.2735 0.2773  1 Ag 2.49, 2 Gd 2.75-2.77
S 0.7789 0.2223 0.7166  2 Ag 2.50-2.75, 2 Gd 2.77
S 0.9714 0.9708 0.4663  2 Ag 2.50-2.73, 3 Gd 2.76-2.80
S 0.9784 0.4801 0.9728  1 Ag 2.49, 3 Gd 2.76-2.79

Computed properties:
Size of the total moment (μB/f.u.): 0.002
E (eV/f.u.): -21.060
Symmetry: No. 4

=====

TmGa2Ni2 | GGA-PBE | optimized geometry

Cell lengths 3.9635, 3.9635, 10.2779 Å; angles 90.00, 90.00, 90.00 degrees
Closest atoms and distances in Å follow each position.
Atoms (fractional coordinates):
Tm 0.0000 0.0000 0.0000  8 Ga 3.07, 8 Ni 3.24
Tm 0.5000 0.5000 0.5000  8 Ga 3.07, 8 Ni 3.24
Ga 0.0000 0.0000 0.3772  4 Ni 2.37, 1 Ga 2.52
Ga 0.0000 0.0000 0.6228  4 Ni 2.37, 1 Ga 2.52
Ga 0.5000 0.5000 0.1228  4 Ni 2.37, 1 Ga 2.52
Ga 0.5000 0.5000 0.8772  4 Ni 2.37, 1 Ga 2.52
Ni 0.0000 0.5000 0.2500  4 Ga 2.37
Ni 0.0000 0.5000 0.7500  4 Ga 2.37
Ni 0.5000 0.0000 0.2500  4 Ga 2.37
Ni 0.5000 0.0000 0.7500  4 Ga 2.37

Computed properties:
Size of the total moment (μB/f.u.): 0.014
E (eV/f.u.): -24.361
Symmetry: No. 139

=====

RbTbGaSe3 | GGA-PBE | optimized geometry

Cell lengths 7.8485, 7.8485, 10.9949 Å; angles 90.00, 90.00, 146.18 degrees
Closest atoms and distances in Å follow each position.
Atoms (fractional coordinates):
Rb 0.2489 0.7511 0.7500  8 Se 3.62-3.99, 1 Ga 3.96
Rb 0.7511 0.2489 0.2500  8 Se 3.62-3.99, 1 Ga 3.96
Tb 0.5000 0.5000 0.0000  6 Se 2.90-2.97
Tb 0.5000 0.5000 0.5000  6 Se 2.90-2.97
Ga 0.0151 0.9849 0.2500  4 Se 2.55-2.56
Ga 0.9849 0.0151 0.7500  4 Se 2.55-2.56
Se 0.1172 0.8828 0.0648  1 Ga 2.55
Se 0.1172 0.8828 0.4352  1 Ga 2.55
Se 0.4382 0.5618 0.2500  2 Ga 2.56
Se 0.5618 0.4382 0.7500  2 Ga 2.56
Se 0.8828 0.1172 0.5648  1 Ga 2.55
Se 0.8828 0.1172 0.9352  1 Ga 2.55

Computed properties:
Size of the total moment (μB/f.u.): 0.003
E (eV/f.u.): -26.512
Symmetry: No. 63

=====

TcBr2 | GGA-PBE | optimized geometry

Cell lengths 5.7431, 5.7431, 5.7431 Å; angles 60.00, 60.00, 60.00 degrees
Closest atoms and distances in Å follow each position.
Atoms (fractional coordinates):
Tc 0.1250 0.1250 0.1250  12 Br 3.37, 4 Tc 3.52
Tc 0.8750 0.8750 0.8750  12 Br 3.37, 4 Tc 3.52
Br 0.0000 0.5000 0.5000  6 Br 2.87
Br 0.5000 0.0000 0.5000  6 Br 2.87
Br 0.5000 0.5000 0.0000  6 Br 2.87
Br 0.5000 0.5000 0.5000  6 Br 2.87

Computed properties:
Size of the total moment (μB/f.u.): 3.802
E (eV/f.u.): -8.216
E above lowest polymorph (meV per atom): 1742
Symmetry: No. 227

=====

ZnPd3F | GGA-PBE | optimized geometry

Cell lengths 5.9805, 5.9805, 5.9805 Å; angles 125.85, 101.84, 102.06 degrees
Closest atoms and distances in Å follow each position.
Atoms (fractional coordinates):
Zn 0.2722 0.0222 0.2500  5 Pd 2.39-2.60
Zn 0.7278 0.9778 0.7500  5 Pd 2.39-2.60
Pd 0.0455 0.2955 0.7500  1 Zn 2.39, 2 F 2.43
Pd 0.3148 0.0000 0.8148  2 F 2.37, 2 Zn 2.60
Pd 0.3148 0.5000 0.3148  2 F 2.37, 2 Zn 2.60
Pd 0.6852 0.0000 0.1852  2 F 2.37, 2 Zn 2.60
Pd 0.6852 0.5000 0.6852  2 F 2.37, 2 Zn 2.60
Pd 0.9545 0.7045 0.2500  1 Zn 2.39, 2 F 2.43
F 0.0000 0.5000 0.5000  6 Pd 2.37-2.43
F 0.5000 0.5000 0.0000  6 Pd 2.37-2.43

Computed properties:
E (eV/f.u.): -19.611
Symmetry: No. 74

=====

PrNdNi2Sn | GGA-PBE | optimized geometry

Cell lengths 4.3526, 5.7716, 8.6409 Å; angles 90.00, 90.00, 90.00 degrees
Closest atoms and distances in Å follow each position.
Atoms (fractional coordinates):
Pr 0.0000 0.0000 0.0000  6 Ni 3.05-3.06, 4 Sn 3.37-3.38
Pr 0.5000 0.5000 0.5000  6 Ni 3.05-3.06, 4 Sn 3.37-3.38
Nd 0.0000 0.0000 0.5936  6 Ni 3.05-3.06, 4 Sn 3.36-3.38
Nd 0.5000 0.5000 0.0936  6 Ni 3.05-3.06, 4 Sn 3.36-3.38
Ni 0.0000 0.2893 0.2966  1 Ni 2.43
Ni 0.0000 0.7107 0.2966  1 Ni 2.43
Ni 0.5000 0.2107 0.7966  1 Ni 2.43
Ni 0.5000 0.7893 0.7966  1 Ni 2.43
Sn 0.0000 0.5000 0.7972  4 Ni 2.74
Sn 0.5000 0.0000 0.2972  4 Ni 2.74

Computed properties:
Size of the total moment (μB/f.u.): 0.000
E (eV/f.u.): -27.272
Symmetry: No. 44

=====

Sm2AlGaPd4 | GGA-PBE | optimized geometry

Cell lengths 4.4249, 4.4249, 9.3346 Å; angles 90.00, 90.00, 120.00 degrees
Closest atoms and distances in Å follow each position.
Atoms (fractional coordinates):
Sm 0.3333 0.6667 0.2487  8 Pd 3.02-3.05
Sm 0.6667 0.3333 0.7513  8 Pd 3.02-3.05
Al 0.0000 0.0000 0.5000  6 Pd 2.65
Ga 0.0000 0.0000 0.0000  6 Pd 2.65
Pd 0.3333 0.6667 0.5751  3 Al 2.65, 3 Pd 2.91
Pd 0.3333 0.6667 0.9229  3 Ga 2.65, 3 Pd 2.93
Pd 0.6667 0.3333 0.0771  3 Ga 2.65, 3 Pd 2.93
Pd 0.6667 0.3333 0.4249  3 Al 2.65, 3 Pd 2.91

Computed properties:
Size of the total moment (μB/f.u.): 0.010
E (eV/f.u.): -43.982
Symmetry: No. 164

=====

Gd3Mo3W2N12 | GGA-PBE | optimized geometry

Cell lengths 11.0409, 11.0409, 11.0409 Å; angles 109.47, 109.47, 109.47 degrees
Closest atoms and distances in Å follow each position.
Atoms (fractional coordinates):
Gd 0.1250 0.2500 0.3750  8 N 2.48-2.58
Gd 0.1250 0.3750 0.7500  8 N 2.48-2.58
Gd 0.2500 0.3750 0.1250  8 N 2.48-2.58
Gd 0.2500 0.8750 0.6250  8 N 2.48-2.58
Gd 0.3750 0.1250 0.2500  8 N 2.48-2.58
Gd 0.3750 0.7500 0.1250  8 N 2.48-2.58
Gd 0.6250 0.2500 0.8750  8 N 2.48-2.58
Gd 0.6250 0.8750 0.7500  8 N 2.48-2.58
Gd 0.7500 0.1250 0.3750  8 N 2.48-2.58
Gd 0.7500 0.6250 0.8750  8 N 2.48-2.58
Gd 0.8750 0.6250 0.2500  8 N 2.48-2.58
Gd 0.8750 0.7500 0.6250  8 N 2.48-2.58
Mo 0.1250 0.7500 0.8750  4 N 1.88
Mo 0.1250 0.8750 0.2500  4 N 1.88
Mo 0.2500 0.1250 0.8750  4 N 1.88
Mo 0.2500 0.6250 0.3750  4 N 1.88
Mo 0.3750 0.2500 0.6250  4 N 1.88
Mo 0.3750 0.6250 0.7500  4 N 1.88
Mo 0.6250 0.3750 0.2500  4 N 1.88
Mo 0.6250 0.7500 0.3750  4 N 1.88
Mo 0.7500 0.3750 0.6250  4 N 1.88
Mo 0.7500 0.8750 0.1250  4 N 1.88
Mo 0.8750 0.1250 0.7500  4 N 1.88
Mo 0.8750 0.2500 0.1250  4 N 1.88
W 0.0000 0.0000 0.0000  6 N 2.04
W 0.0000 0.0000 0.5000  6 N 2.04
W 0.0000 0.5000 0.0000  6 N 2.04
W 0.0000 0.5000 0.5000  6 N 2.04
W 0.5000 0.0000 0.0000  6 N 2.04
W 0.5000 0.0000 0.5000  6 N 2.04
W 0.5000 0.5000 0.0000  6 N 2.04
W 0.5000 0.5000 0.5000  6 N 2.04
N 0.0199 0.2002 0.1162  1 Mo 1.88, 1 W 2.04
N 0.0199 0.3197 0.9037  1 Mo 1.88, 1 W 2.04
N 0.0840 0.7002 0.6803  1 Mo 1.88, 1 W 2.04
N 0.0840 0.8838 0.4037  1 Mo 1.88, 1 W 2.04
N 0.0963 0.6162 0.4160  1 Mo 1.88, 1 W 2.04
N 0.0963 0.9801 0.6803  1 Mo 1.88, 1 W 2.04
N 0.1162 0.0199 0.2002  1 Mo 1.88, 1 W 2.04
N 0.1162 0.5963 0.9160  1 Mo 1.88, 1 W 2.04
N 0.1803 0.2002 0.5840  1 Mo 1.88, 1 W 2.04
N 0.1803 0.4801 0.5963  1 Mo 1.88, 1 W 2.04
N 0.2002 0.1162 0.0199  1 Mo 1.88, 1 W 2.04
N 0.2002 0.5840 0.1803  1 Mo 1.88, 1 W 2.04
N 0.2998 0.3197 0.9160  1 Mo 1.88, 1 W 2.04
N 0.2998 0.4801 0.3838  1 Mo 1.88, 1 W 2.04
N 0.3197 0.9037 0.0199  1 Mo 1.88, 1 W 2.04
N 0.3197 0.9160 0.2998  1 Mo 1.88, 1 W 2.04
N 0.3838 0.2998 0.4801  1 Mo 1.88, 1 W 2.04
N 0.3838 0.5840 0.9037  1 Mo 1.88, 1 W 2.04
N 0.4037 0.0840 0.8838  1 Mo 1.88, 1 W 2.04
N 0.4037 0.8197 0.5199  1 Mo 1.88, 1 W 2.04
N 0.4160 0.0963 0.6162  1 Mo 1.88, 1 W 2.04
N 0.4160 0.8197 0.7998  1 Mo 1.88, 1 W 2.04
N 0.4801 0.3838 0.2998  1 Mo 1.88, 1 W 2.04
N 0.4801 0.5963 0.1803  1 Mo 1.88, 1 W 2.04
N 0.5199 0.4037 0.8197  1 Mo 1.88, 1 W 2.04
N 0.5199 0.6162 0.7002  1 Mo 1.88, 1 W 2.04
N 0.5840 0.1803 0.2002  1 Mo 1.88, 1 W 2.04
N 0.5840 0.9037 0.3838  1 Mo 1.88, 1 W 2.04
N 0.5963 0.1803 0.4801  1 Mo 1.88, 1 W 2.04
N 0.5963 0.9160 0.1162  1 Mo 1.88, 1 W 2.04
N 0.6162 0.4160 0.0963  1 Mo 1.88, 1 W 2.04
N 0.6162 0.7002 0.5199  1 Mo 1.88, 1 W 2.04
N 0.6803 0.0840 0.7002  1 Mo 1.88, 1 W 2.04
N 0.6803 0.0963 0.9801  1 Mo 1.88, 1 W 2.04
N 0.7002 0.5199 0.6162  1 Mo 1.88, 1 W 2.04
N 0.7002 0.6803 0.0840  1 Mo 1.88, 1 W 2.04
N 0.7998 0.4160 0.8197  1 Mo 1.88, 1 W 2.04
N 0.7998 0.8838 0.9801  1 Mo 1.88, 1 W 2.04
N 0.8197 0.5199 0.4037  1 Mo 1.88, 1 W 2.04
N 0.8197 0.7998 0.4160  1 Mo 1.88, 1 W 2.04
N 0.8838 0.4037 0.0840  1 Mo 1.88, 1 W 2.04
N 0.8838 0.9801 0.7998  1 Mo 1.88, 1 W 2.04
N 0.9037 0.0199 0.3197  1 Mo 1.88, 1 W 2.04
N 0.9037 0.3838 0.5840  1 Mo 1.88, 1 W 2.04
N 0.9160 0.1162 0.5963  1 Mo 1.88, 1 W 2.04
N 0.9160 0.2998 0.3197  1 Mo 1.88, 1 W 2.04
N 0.9801 0.6803 0.0963  1 Mo 1.88, 1 W 2.04
N 0.9801 0.7998 0.8838  1 Mo 1.88, 1 W 2.04

Computed properties:
Size of the total moment (μB/f.u.): 0.006
E (eV/f.u.): -187.186
Symmetry: No. 230